No. 1
This record from the Alexandria database describes crystalline Cr2MoPt at its relaxed geometry. The functional is PBE.

Computed properties:
Formation enthalpy at 0 K ... 4.95 kJ per mole of atoms
Raw total energy ... -35.91 eV for the cell shown
DOS at the Fermi energy ... 5.73 states/eV/f.u.

Unit cell a=4.6404 b=4.6404 c=4.6404 alpha=131.30 beta=131.26 gamma=71.37
Closest atoms and distances in Å follow each position.
Atoms (fractional coordinates):
Cr1 0.9999 0.9999 0.0000  4 Mo 2.69, 4 Pt 2.69, 4 Cr 2.71
Cr2 0.5001 0.5001 0.0000  4 Mo 2.69, 4 Pt 2.69, 4 Cr 2.71
Mo1 0.7500 0.2500 0.5000  8 Cr 2.69, 4 Pt 2.71
Pt1 0.2500 0.7500 0.5000  8 Cr 2.69, 4 Mo 2.71



No. 2
This record from the Alexandria database describes crystalline Pr2ZnPd6 at its relaxed geometry. The functional is PBE.

Computed properties:
Formation enthalpy at 0 K ... -69.19 kJ per mole of atoms
Raw total energy ... -48.44 eV for the cell shown
ΔE to the lowest computed polymorph ... 0.000 eV per atom
DOS at the Fermi energy ... 2.55 states/eV/f.u.

Unit cell a=5.8349 b=5.8271 c=5.8271 alpha=60.00 beta=90.01 gamma=90.01
Closest atoms and distances in Å follow each position.
Atoms (fractional coordinates):
Pr1 0.8180 0.6667 0.6667  12 Pd 3.01-3.37
Pr2 0.1820 0.3333 0.3333  12 Pd 3.01-3.37
Zn1 0.0000 0.0000 0.0000  6 Pd 2.53
Pd1 0.3117 0.3473 0.8264  1 Zn 2.53, 4 Pd 2.79-2.81
Pd2 0.3116 0.8264 0.8264  1 Zn 2.53, 4 Pd 2.79-2.81
Pd3 0.3117 0.8264 0.3473  1 Zn 2.53, 4 Pd 2.79-2.81
Pd4 0.6883 0.6527 0.1736  1 Zn 2.53, 4 Pd 2.79-2.81
Pd5 0.6884 0.1736 0.1736  1 Zn 2.53, 4 Pd 2.79-2.81
Pd6 0.6883 0.1736 0.6527  1 Zn 2.53, 4 Pd 2.79-2.81



No. 3
This record from the Alexandria database describes crystalline ScMnRe at its relaxed geometry. The functional is PBE.

Computed properties:
Formation enthalpy at 0 K ... 30.47 kJ per mole of atoms
Raw total energy ... -27.00 eV for the cell shown
ΔE to the lowest computed polymorph ... 0.556 eV per atom
DOS at the Fermi energy ... 2.53 states/eV/f.u.

Unit cell a=4.1528 b=4.1528 c=4.1528 alpha=60.00 beta=60.00 gamma=60.00
Closest atoms and distances in Å follow each position.
Atoms (fractional coordinates):
Mn1 0.7500 0.7500 0.7500  4 Sc 2.54, 4 Re 2.54
Re1 0.0000 0.0000 0.0000  4 Mn 2.54
Sc1 0.5000 0.5000 0.5000  4 Mn 2.54



No. 4
This record from the Alexandria database describes crystalline Ca4GeP4 at its relaxed geometry. The functional is PBE.

Computed properties:
Formation enthalpy at 0 K ... -90.58 kJ per mole of atoms
Raw total energy ... -85.42 eV for the cell shown
DOS at the Fermi energy ... 0.51 states/eV/f.u.

Unit cell a=6.2352 b=8.3113 c=8.3113 alpha=90.00 beta=90.00 gamma=90.00
Closest atoms and distances in Å follow each position.
Atoms (fractional coordinates):
Ca1 0.3213 0.2684 0.9999  5 P 2.91-3.03, 1 Ge 3.00
Ca2 0.8213 0.5001 0.7684  5 P 2.91-3.03, 1 Ge 3.00
Ca3 0.3213 0.7316 0.0001  5 P 2.91-3.03, 1 Ge 3.00
Ca4 0.1787 0.2316 0.5001  5 P 2.91-3.03, 1 Ge 3.00
Ca5 0.6787 0.9999 0.7316  5 P 2.91-3.03, 1 Ge 3.00
Ca6 0.1787 0.7684 0.4999  5 P 2.91-3.03, 1 Ge 3.00
Ca7 0.8213 0.4999 0.2316  5 P 2.91-3.03, 1 Ge 3.00
Ca8 0.6787 0.0001 0.2684  5 P 2.91-3.03, 1 Ge 3.00
Ge1 0.0000 0.0000 0.0000  4 P 2.36
Ge2 0.5000 0.5000 0.5000  4 P 2.36
P1 0.7144 0.7338 0.4999  1 Ge 2.36
P2 0.7144 0.2662 0.5001  1 Ge 2.36
P3 0.2144 0.9999 0.7662  1 Ge 2.36
P4 0.7856 0.2338 0.9999  1 Ge 2.36
P5 0.7856 0.7662 0.0001  1 Ge 2.36
P6 0.2856 0.4999 0.2662  1 Ge 2.36
P7 0.2856 0.5001 0.7338  1 Ge 2.36
P8 0.2144 0.0001 0.2338  1 Ge 2.36



No. 5
This record from the Alexandria database describes crystalline Rb3Nd3NpS8 at its relaxed geometry. The functional is PBE.

Computed properties:
Formation energy (no corrections) ... -1719 meV per atom
Raw total energy ... -88.96 eV for the cell shown
DOS at the Fermi energy ... 3.98 states/eV/f.u.

Unit cell a=8.3456 b=8.3458 c=9.1911 alpha=117.03 beta=89.99 gamma=120.00
Closest atoms and distances in Å follow each position.
Atoms (fractional coordinates):
Rb1 0.0000 0.0000 0.0000  6 S 3.38-3.40
Rb2 0.0000 0.5000 0.0000  6 S 3.39-3.40
Rb3 0.5000 0.5000 0.0000  6 S 3.38-3.40
Nd1 0.5000 0.0000 0.5000  6 S 2.86-2.87
Nd2 0.5000 0.5000 0.5000  6 S 2.86-2.87
Nd3 0.0000 0.5000 0.5000  6 S 2.86-2.87
Np1 0.0000 0.0000 0.5000  6 S 2.73
S1 0.2679 0.5358 0.3038  3 Nd 2.86
S2 0.7321 0.4642 0.6962  3 Nd 2.86
S3 0.7786 0.5571 0.3129  1 Np 2.73, 2 Nd 2.87
S4 0.2214 0.4429 0.6871  1 Np 2.73, 2 Nd 2.87
S5 0.7786 0.0342 0.3129  1 Np 2.73, 2 Nd 2.87
S6 0.2214 0.9658 0.6871  1 Np 2.73, 2 Nd 2.87
S7 0.2557 0.0342 0.3129  1 Np 2.73, 2 Nd 2.87
S8 0.7443 0.9658 0.6871  1 Np 2.73, 2 Nd 2.87



No. 6
This record from the Alexandria database describes crystalline MgMn2Co at its relaxed geometry. The functional is PBE.

Computed properties:
Formation enthalpy at 0 K ... 37.10 kJ per mole of atoms
Raw total energy ... -25.50 eV for the cell shown
ΔE to the lowest computed polymorph ... 0.253 eV per atom
DOS at the Fermi energy ... 5.16 states/eV/f.u.

Unit cell a=4.7250 b=4.7250 c=4.7250 alpha=137.35 beta=137.35 gamma=61.90
Closest atoms and distances in Å follow each position.
Atoms (fractional coordinates):
Co1 0.2500 0.7500 0.5000  4 Mg 2.43, 8 Mn 2.66
Mg1 0.7500 0.2500 0.5000  4 Co 2.43, 8 Mn 2.66
Mn1 0.0000 0.0000 0.0000  4 Mn 2.43, 4 Co 2.66, 4 Mg 2.66
Mn2 0.5000 0.5000 0.0000  4 Mn 2.43, 4 Co 2.66, 4 Mg 2.66



No. 7
This record from the Alexandria database describes crystalline Ho2Er2Mg15 at its relaxed geometry. The functional is PBE.

Computed properties:
Formation enthalpy at 0 K ... 3.64 kJ per mole of atoms
Raw total energy ... -41.48 eV for the cell shown
DOS at the Fermi energy ... 13.85 states/eV/f.u.

Unit cell a=7.8883 b=7.8883 c=7.8883 alpha=82.67 beta=82.67 gamma=82.67
Closest atoms and distances in Å follow each position.
Atoms (fractional coordinates):
Ho1 0.3272 0.3272 0.3272  1 Er 3.47, 15 Mg 3.66-3.88
Ho2 0.6728 0.6728 0.6728  1 Er 3.47, 15 Mg 3.66-3.88
Er1 0.1003 0.1003 0.1003  1 Er 3.07, 6 Mg 3.17-3.36
Er2 0.8997 0.8997 0.8997  1 Er 3.07, 6 Mg 3.17-3.36
Mg1 0.5000 0.0000 0.0000  8 Mg 3.01-3.07, 2 Er 3.17
Mg2 0.0000 0.0000 0.5000  8 Mg 3.01-3.07, 2 Er 3.17
Mg3 0.0000 0.5000 0.0000  8 Mg 3.01-3.07, 2 Er 3.17
Mg4 0.0000 0.7004 0.2996  8 Mg 3.01-3.28
Mg5 0.7004 0.2996 0.0000  8 Mg 3.01-3.28
Mg6 0.2996 0.0000 0.7004  8 Mg 3.01-3.28
Mg7 0.2996 0.7004 0.0000  8 Mg 3.01-3.28
Mg8 0.7004 0.0000 0.2996  8 Mg 3.01-3.28
Mg9 0.0000 0.2996 0.7004  8 Mg 3.01-3.28
Mg10 0.1566 0.6422 0.6422  8 Mg 2.98-3.28
Mg11 0.6422 0.6422 0.1566  8 Mg 2.98-3.28
Mg12 0.6422 0.1566 0.6422  8 Mg 2.98-3.28
Mg13 0.8434 0.3578 0.3578  8 Mg 2.98-3.28
Mg14 0.3578 0.3578 0.8434  8 Mg 2.98-3.28
Mg15 0.3578 0.8434 0.3578  8 Mg 2.98-3.28



No. 8
This record from the Alexandria database describes crystalline Y12ErSc2 at its relaxed geometry. The functional is PBE.

Computed properties:
Formation enthalpy at 0 K ... 41.99 kJ per mole of atoms
Raw total energy ... -176.53 eV for the cell shown
DOS at the Fermi energy ... 26.64 states/eV/f.u.

Unit cell a=6.3376 b=6.3376 c=25.1015 alpha=90.00 beta=90.00 gamma=90.00
Closest atoms and distances in Å follow each position.
Atoms (fractional coordinates):
Y1 0.5000 0.5000 0.7843  1 Y 3.05
Y2 0.0000 0.0000 0.7843  1 Y 3.05
Y3 0.7506 0.7494 0.8891  6 Y 3.17-3.46
Y4 0.2506 0.7506 0.8891  6 Y 3.17-3.46
Y5 0.0000 0.0000 0.3371  1 Y 3.05
Y6 0.2494 0.7494 0.1109  6 Y 3.17-3.46
Y7 0.8305 0.3305 0.5618  5 Y 3.04-3.33
Y8 0.5000 0.5000 0.3371  1 Y 3.05
Y9 0.2494 0.2506 0.8891  6 Y 3.17-3.46
Y10 0.7494 0.7506 0.1109  6 Y 3.17-3.46
Y11 0.3305 0.1695 0.5618  5 Y 3.04-3.33
Y12 0.6695 0.1695 0.4382  5 Y 3.04-3.33
Y13 0.0000 0.0000 0.6629  1 Y 3.05
Y14 0.1695 0.3305 0.4382  5 Y 3.04-3.33
Y15 0.2506 0.2494 0.1109  6 Y 3.17-3.46
Y16 0.8305 0.6695 0.4382  5 Y 3.04-3.33
Y17 0.6695 0.8305 0.5618  5 Y 3.04-3.33
Y18 0.0000 0.0000 0.2157  1 Y 3.05
Y19 0.1695 0.6695 0.5618  5 Y 3.04-3.33
Y20 0.5000 0.5000 0.6629  1 Y 3.05
Y21 0.7494 0.2494 0.8891  6 Y 3.17-3.46
Y22 0.5000 0.5000 0.2157  1 Y 3.05
Y23 0.3305 0.8305 0.4382  5 Y 3.04-3.33
Y24 0.7506 0.2506 0.1109  6 Y 3.17-3.46
Er1 0.5000 0.0000 0.0000  8 Y 3.57-3.58
Er2 0.0000 0.5000 0.0000  8 Y 3.57-3.58
Sc1 0.5000 0.0000 0.2749  8 Y 3.50-3.53
Sc2 0.0000 0.5000 0.2749  8 Y 3.50-3.53
Sc3 0.0000 0.5000 0.7251  8 Y 3.50-3.53
Sc4 0.5000 0.0000 0.7251  8 Y 3.50-3.53



No. 9
This record from the Alexandria database describes crystalline La2In2Ge at its relaxed geometry. The functional is PBE.

Computed properties:
Formation enthalpy at 0 K ... -42.56 kJ per mole of atoms
Raw total energy ... -44.31 eV for the cell shown
ΔE to the lowest computed polymorph ... 0.000 eV per atom
DOS at the Fermi energy ... 1.42 states/eV/f.u.

Unit cell a=7.6628 b=7.6628 c=4.9756 alpha=90.00 beta=90.00 gamma=90.00
Closest atoms and distances in Å follow each position.
Atoms (fractional coordinates):
Ge1 0.0000 0.0000 0.0000  4 In 2.98
Ge2 0.5000 0.5000 0.0000  4 In 2.98
In1 0.3642 0.8642 0.0000  1 In 2.94, 2 Ge 2.98, 2 La 3.26
In2 0.8642 0.6358 0.0000  1 In 2.94, 2 Ge 2.98, 2 La 3.26
In3 0.6358 0.1358 0.0000  1 In 2.94, 2 Ge 2.98, 2 La 3.26
In4 0.1358 0.3642 0.0000  1 In 2.94, 2 Ge 2.98, 2 La 3.26
La1 0.1692 0.6692 0.5000  6 In 3.26-3.42
La2 0.6692 0.8308 0.5000  6 In 3.26-3.42
La3 0.8308 0.3308 0.5000  6 In 3.26-3.42
La4 0.3308 0.1692 0.5000  6 In 3.26-3.42



No. 10
This record from the Alexandria database describes crystalline SrCaTe2As at its relaxed geometry. The functional is PBE.

Computed properties:
Formation energy (no corrections) ... 108 meV per atom
Raw total energy ... -14.08 eV for the cell shown
DOS at the Fermi energy ... 3.84 states/eV/f.u.

Unit cell a=5.5398 b=8.1496 c=5.5398 alpha=90.00 beta=90.00 gamma=90.00
Closest atoms and distances in Å follow each position.
Atoms (fractional coordinates):
Sr1 0.0000 0.5000 0.0000  4 As 3.92, 2 Ca 4.07
As1 0.5000 0.5000 0.5000  4 Sr 3.92
Te1 0.0000 0.0000 0.5000  2 Ca 2.77
Te2 0.5000 0.0000 0.0000  2 Ca 2.77
Ca1 0.0000 0.0000 0.0000  4 Te 2.77



No. 11
This record from the Alexandria database describes crystalline Zn2Cu7As2Pt at its relaxed geometry. The functional is PBE.

Computed properties:
Formation enthalpy at 0 K ... 0.39 kJ per mole of atoms
Raw total energy ... -46.51 eV for the cell shown
DOS at the Fermi energy ... 4.68 states/eV/f.u.

Unit cell a=3.8258 b=3.8258 c=12.7240 alpha=73.21 beta=73.21 gamma=91.47
Closest atoms and distances in Å follow each position.
Atoms (fractional coordinates):
Zn1 0.8173 0.8173 0.6823  6 Cu 2.50-2.67, 4 As 2.67-2.74
Zn2 0.1827 0.1827 0.3177  6 Cu 2.50-2.67, 4 As 2.67-2.74
Cu1 0.5000 0.5000 0.0000  8 Cu 2.64-2.65, 4 Pt 2.67-2.74
Cu2 0.2522 0.2522 0.5002  2 Zn 2.50-2.51, 2 As 2.54-2.56, 4 Cu 2.64-2.74
Cu3 0.7478 0.7478 0.4998  2 Zn 2.50-2.51, 2 As 2.54-2.56, 4 Cu 2.64-2.74
Cu4 0.8437 0.3431 0.1579  2 As 2.60-2.62, 2 Pt 2.64-2.65, 6 Cu 2.64-2.74, 2 Zn 2.65-2.67
Cu5 0.3431 0.8437 0.1579  2 As 2.60-2.62, 2 Pt 2.64-2.65, 6 Cu 2.64-2.74, 2 Zn 2.65-2.67
Cu6 0.6569 0.1563 0.8421  2 As 2.60-2.62, 2 Pt 2.64-2.65, 6 Cu 2.64-2.74, 2 Zn 2.65-2.67
Cu7 0.1563 0.6569 0.8421  2 As 2.60-2.62, 2 Pt 2.64-2.65, 6 Cu 2.64-2.74, 2 Zn 2.65-2.67
As1 0.6883 0.6883 0.3115  6 Cu 2.54-2.62, 4 Zn 2.67-2.74
As2 0.3117 0.3117 0.6885  6 Cu 2.54-2.62, 4 Zn 2.67-2.74
Pt1 0.0000 0.0000 0.0000  12 Cu 2.64-2.74



No. 12
This record from the Alexandria database describes crystalline ThInTc at its relaxed geometry. The functional is PBE.

Computed properties:
Formation enthalpy at 0 K ... -22.97 kJ per mole of atoms
Raw total energy ... -42.48 eV for the cell shown
ΔE to the lowest computed polymorph ... 0.000 eV per atom
DOS at the Fermi energy ... 2.90 states/eV/f.u.

Unit cell a=4.8321 b=6.3705 c=5.1303 alpha=78.40 beta=90.02 gamma=67.71
Closest atoms and distances in Å follow each position.
Atoms (fractional coordinates):
Th1 0.1374 0.7310 0.8192  2 Tc 2.61-2.73
Th2 0.8671 0.2722 0.1853  2 Tc 2.61-2.73
In1 0.4257 0.1544 0.7165  3 Tc 2.80-2.87, 2 In 3.09-3.13
In2 0.5788 0.8489 0.2880  3 Tc 2.80-2.87, 2 In 3.09-3.13
Tc1 0.8030 0.3995 0.6412  2 Th 2.61-2.73, 3 In 2.80-2.87
Tc2 0.2015 0.6037 0.3632  2 Th 2.61-2.73, 3 In 2.80-2.87



No. 13
This record from the Alexandria database describes crystalline ReP2RuS at its relaxed geometry. The functional is PBE.

Computed properties:
Formation energy (no corrections) ... 1429 meV per atom
Raw total energy ... -29.53 eV for the cell shown
ΔE to the lowest computed polymorph ... 0.309 eV per atom
DOS at the Fermi energy ... 5.02 states/eV/f.u.

Unit cell a=4.3426 b=4.2633 c=4.3426 alpha=90.00 beta=90.00 gamma=90.00
Closest atoms and distances in Å follow each position.
Atoms (fractional coordinates):
Re1 0.5000 0.5000 0.5000  8 P 3.04, 4 Ru 3.07
S1 0.0000 0.0000 0.0000  2 Ru 2.13, 4 P 2.17
P1 0.0000 0.0000 0.5000  2 S 2.17
P2 0.5000 0.0000 0.0000  2 S 2.17
Ru1 0.0000 0.5000 0.0000  2 S 2.13



No. 14
This record from the Alexandria database describes crystalline La2PaNbN5 at its relaxed geometry. The functional is PBE.

Computed properties:
Formation energy (no corrections) ... -1311 meV per atom
Raw total energy ... -82.84 eV for the cell shown
DOS at the Fermi energy ... 3.28 states/eV/f.u.

Unit cell a=4.0327 b=4.0327 c=8.6558 alpha=90.00 beta=90.00 gamma=90.00
Closest atoms and distances in Å follow each position.
Atoms (fractional coordinates):
La1 0.5000 0.5000 0.2927  5 N 2.53-2.70
La2 0.5000 0.5000 0.7073  5 N 2.53-2.70
Pa1 0.0000 0.0000 0.0000  2 N 2.05
Nb1 0.0000 0.0000 0.5000  4 N 2.02
N1 0.0000 0.5000 0.5000  2 Nb 2.02
N2 0.5000 0.0000 0.5000  2 Nb 2.02
N3 0.0000 0.0000 0.7627  1 Pa 2.05, 1 Nb 2.27
N4 0.0000 0.0000 0.2373  1 Pa 2.05, 1 Nb 2.27
N5 0.5000 0.5000 0.0000  2 La 2.53